Entry 1:
First-principles (GGA-PBEsol) data for an optimized crystal structure of Cs2Li2SiO4, as listed in Alexandria.

Cell: 5.536 5.721 9.177 Å, 84.20 76.36 87.25°
Fractional coordinates of all 18 atoms:
Cs1 0.517 0.152 0.284
Cs2 0.483 0.848 0.716
Cs3 0.790 0.733 0.016
Cs4 0.210 0.267 0.984
Li1 0.303 0.410 0.581
Li2 0.697 0.590 0.419
Li3 0.067 0.813 0.561
Li4 0.933 0.187 0.439
Si1 0.142 0.684 0.294
Si2 0.858 0.316 0.706
O1 0.352 0.642 0.400
O2 0.648 0.358 0.600
O3 0.995 0.441 0.290
O4 0.005 0.559 0.710
O5 0.922 0.862 0.388
O6 0.078 0.138 0.612
O7 0.268 0.794 0.123
O8 0.732 0.206 0.877

Results
- Magnetic moment: 0.000 μB/cell
- Energy relative to the elements, uncorrected: -1926 kJ/mol of formula units


Entry 2:
First-principles (GGA-PBEsol) data for an optimized crystal structure of CsLiSn2O, as listed in Alexandria.

Cell: 3.458 6.053 6.053 Å, 90.00 90.00 90.00°
Fractional coordinates of all 5 atoms:
Cs1 0.500 0.500 0.500
Sn1 0.000 0.000 0.500
Sn2 0.000 0.500 0.000
O1 0.500 0.000 0.000
Li1 0.000 0.000 0.000

Results
- Magnetic moment: 0.000 μB/cell
- Energy relative to the elements, uncorrected: 5 kJ/mol of formula units


Entry 3:
First-principles (GGA-PBEsol) data for an optimized crystal structure of Cs2Li2TiO4, as listed in Alexandria.

Cell: 5.771 5.876 9.242 Å, 83.29 73.84 86.34°
Fractional coordinates of all 18 atoms:
Cs1 0.468 0.851 0.720
Cs2 0.532 0.149 0.280
Cs3 0.783 0.725 0.015
Cs4 0.217 0.275 0.985
Li1 0.926 0.181 0.441
Li2 0.074 0.819 0.559
Li3 0.693 0.587 0.424
Li4 0.307 0.413 0.576
Ti1 0.140 0.683 0.286
Ti2 0.860 0.317 0.714
O1 0.024 0.572 0.713
O2 0.976 0.428 0.287
O3 0.901 0.865 0.401
O4 0.099 0.135 0.599
O5 0.264 0.796 0.093
O6 0.736 0.204 0.907
O7 0.370 0.640 0.394
O8 0.630 0.360 0.606

Results
- Magnetic moment: 0.000 μB/cell
- Energy relative to the elements, uncorrected: -1956 kJ/mol of formula units


Entry 4:
First-principles (GGA-PBEsol) data for an optimized crystal structure of CsLiP3, as listed in Alexandria.

Cell: 4.714 4.714 4.714 Å, 90.00 90.00 90.00°
Fractional coordinates of all 5 atoms:
Cs1 0.500 0.500 0.500
P1 0.000 0.500 0.000
P2 0.000 0.000 0.500
P3 0.500 0.000 0.000
Li1 0.000 0.000 0.000

Results
- Formation energy from the elements: 587 meV per atom
- Magnetic moment: 0.000 μB/cell


Entry 5:
First-principles (GGA-PBEsol) data for an optimized crystal structure of CsLi3Pb, as listed in Alexandria.

Cell: 5.440 5.440 5.440 Å, 90.00 90.00 90.00°
Fractional coordinates of all 5 atoms:
Pb1 0.000 0.000 0.000
Cs1 0.500 0.500 0.500
Li1 0.000 0.500 0.000
Li2 0.000 0.000 0.500
Li3 0.500 0.000 0.000

Results
- Formation energy from the elements: -176 meV per atom
- Magnetic moment: 0.000 μB/cell
- Relative energy among the computed polymorphs: 0 meV per atom


Entry 6:
First-principles (GGA-PBEsol) data for an optimized crystal structure of CsLi3Pb, as listed in Alexandria.

Cell: 5.222 5.222 5.222 Å, 90.00 90.00 90.00°
Fractional coordinates of all 5 atoms:
Pb1 0.500 0.500 0.500
Cs1 0.000 0.000 0.000
Li1 0.000 0.500 0.000
Li2 0.000 0.000 0.500
Li3 0.500 0.000 0.000

Results
- Formation energy from the elements: 694 meV per atom
- Magnetic moment: 0.000 μB/cell
- Relative energy among the computed polymorphs: 870 meV per atom


Entry 7:
First-principles (GGA-PBEsol) data for an optimized crystal structure of Cs2LiPb, as listed in Alexandria.

Cell: 6.485 6.485 6.485 Å, 60.00 60.00 60.00°
Each line ends with the local moment (μB).
Fractional coordinates of all 4 atoms:
Pb1 0.500 0.500 0.500  0.34
Cs1 0.250 0.250 0.250  0.03
Cs2 0.750 0.750 0.750  0.03
Li1 0.000 0.000 0.000  -0.01

Results
- Formation energy from the elements: 177 meV per atom
- Magnetic moment: 1.059 μB/cell


Entry 8:
First-principles (GGA-PBEsol) data for an optimized crystal structure of CsLiTlPb2, as listed in Alexandria.

Cell: 5.939 5.939 6.670 Å, 90.00 90.00 90.00°
Fractional coordinates of all 5 atoms:
Pb1 0.000 0.500 0.000
Pb2 0.500 0.000 0.000
Cs1 0.000 0.000 0.500
Tl1 0.000 0.000 0.000
Li1 0.500 0.500 0.500

Results
- Formation energy from the elements: 394 meV per atom
- Magnetic moment: 0.000 μB/cell